Entry from Alexandria: an optimized crystal structure of ZrBRh3 (GGA-PBE).

It has space group R3m (No. 160, hexagonal axes), with a = 5.3830 Å, b = 5.3830 Å, c = 12.8382 Å, α = 90.00°, β = 90.00° and γ = 120.00°. The inequivalent atoms are Zr at (0.0000, 0.0000, 0.0000), B at (0.0000, 0.0000, 0.7453) and Rh at (0.1717, 0.3434, 0.8390).

As for the energy of formation: 52 kJ/mol of atoms. For the total energy, the calculation gives -6.914 eV/atom. For the theoretical density, the calculation gives 6.4 g/cm3.

=====

Entry from Alexandria: an optimized crystal structure of Sm4TlCd2Ga (GGA-PBE).

It has space group R-3m (No. 166, hexagonal axes), with a = 5.3568 Å, b = 5.3568 Å, c = 26.2491 Å, α = 90.00°, β = 90.00° and γ = 120.00°. The inequivalent atoms are Sm at (0.0000, 0.0000, 0.1205), Sm at (0.0000, 0.0000, 0.3707), Tl at (0.0000, 0.0000, 0.5000), Cd at (0.0000, 0.0000, 0.2480) and Ga at (0.0000, 0.0000, 0.0000).

As for the energy of formation: -39 kJ/mol of atoms. For the total energy, the calculation gives -3.663 eV/atom. For the theoretical density, the calculation gives 8.4 g/cm3.